a:
## LiNd2Sc (PBE)

Data for an optimized crystal structure of LiNd2Sc.

Unit cell a=3.7932 b=3.7932 c=8.1175 alpha=90.00 beta=90.00 gamma=90.00
Last column: nearest neighbours and their distance in Å.
Sites, in units of the cell vectors:
Li1 0.0000 0.0000 0.0000  8 Nd 3.35
Nd1 0.5000 0.5000 0.2475  4 Li 3.35, 4 Sc 3.38
Nd2 0.5000 0.5000 0.7525  4 Li 3.35, 4 Sc 3.38
Sc1 0.0000 0.0000 0.5000  8 Nd 3.38

Summary:
The calculation puts the total magnetic moment at 0.00 μB/f.u. As for the crystal system: tetragonal.

=====

b:
## LiNd2Sc (PBE)

Data for an optimized crystal structure of LiNd2Sc.

Unit cell a=5.4611 b=5.4611 c=5.4611 alpha=60.00 beta=60.00 gamma=60.00
Last column: nearest neighbours and their distance in Å.
Sites, in units of the cell vectors:
Li1 0.0000 0.0000 0.0000  8 Nd 3.34
Nd1 0.2500 0.2500 0.2500  4 Li 3.34, 4 Sc 3.34
Nd2 0.7500 0.7500 0.7500  4 Sc 3.34, 4 Li 3.34
Sc1 0.5000 0.5000 0.5000  8 Nd 3.34

Summary:
The calculation puts the total magnetic moment at 0.00 μB/f.u. As for the crystal system: cubic.

=====

c:
## LiNd2Sc (PBE)

Data for an optimized crystal structure of LiNd2Sc.

Unit cell a=11.3722 b=11.3722 c=11.3722 alpha=17.66 beta=17.66 gamma=17.66
Last column: nearest neighbours and their distance in Å.
Sites, in units of the cell vectors:
Li1 0.0000 0.0000 0.0000  6 Nd 3.48-3.50, 6 Li 3.49
Nd1 0.2479 0.2479 0.2479  3 Sc 3.41, 6 Nd 3.49, 3 Li 3.50
Nd2 0.4179 0.4179 0.4179  3 Sc 3.40, 3 Li 3.48, 6 Nd 3.49
Sc1 0.8328 0.8328 0.8328  6 Nd 3.40-3.41, 6 Sc 3.49

Summary:
The calculation puts the total magnetic moment at 0.00 μB/f.u. As for the crystal system: trigonal.

=====

In terms of stability, a leads; the second structure lies 1.3 kJ/mol of atoms higher.

=====

a:
## LiNdSc (PBE)

Data for an optimized crystal structure of LiNdSc.

Unit cell a=3.4151 b=3.4151 c=8.1337 alpha=90.00 beta=90.00 gamma=120.00
Last column: nearest neighbours and their distance in Å.
Sites, in units of the cell vectors:
Li1 0.0000 0.0000 0.0000  3 Sc 3.23, 6 Li 3.42, 3 Nd 3.47
Nd1 0.3333 0.6667 0.6495  3 Sc 3.36, 6 Nd 3.42, 3 Li 3.47
Sc1 0.6667 0.3333 0.3149  3 Li 3.23, 3 Nd 3.36, 6 Sc 3.42

Summary:
The calculation puts the total magnetic moment at 0.39 μB/f.u. As for the crystal system: trigonal.

=====

b:
## LiNdSc (PBE)

Data for an optimized crystal structure of LiNdSc.

Unit cell a=6.4248 b=6.4248 c=6.4248 alpha=147.18 beta=147.18 gamma=47.10
Last column: nearest neighbours and their distance in Å.
Sites, in units of the cell vectors:
Li1 0.0000 0.0000 0.0000  4 Sc 3.02, 4 Nd 3.27
Nd1 0.3274 0.3274 0.0000  4 Li 3.27, 5 Sc 3.43-3.62, 4 Nd 3.63
Sc1 0.6346 0.6346 0.0000  4 Li 3.02

Summary:
The calculation puts the total magnetic moment at 0.00 μB/f.u. As for the crystal system: tetragonal.

=====

c:
## LiNdSc (PBE)

Data for an optimized crystal structure of LiNdSc.

Unit cell a=11.7174 b=11.7016 c=3.9712 alpha=80.46 beta=80.01 gamma=19.53
Last column: nearest neighbours and their distance in Å.
Sites, in units of the cell vectors:
Li1 0.2229 0.7771 0.2229  3 Li 2.53-2.79
Li2 0.7771 0.2229 0.7771  3 Li 2.53-2.79
Nd1 0.3747 0.3747 0.6253  2 Li 3.25, 4 Sc 3.46
Nd2 0.6253 0.6253 0.3747  2 Li 3.25, 4 Sc 3.46
Sc1 0.2500 0.2500 0.2500  4 Sc 2.77-2.84
Sc2 0.7500 0.7500 0.7500  4 Sc 2.77-2.84

Summary:
The calculation puts the total magnetic moment at 0.26 μB/f.u. As for the crystal system: orthorhombic.

=====

In terms of stability, b leads; the second structure lies 3.0 kJ/mol of atoms higher.